No. 1
Compound: DySnS4
Source: Alexandria via LeMat-Bulk
Functional: PBE
Structure: relaxed

Summary:
- formation energy (no corrections) (eV per atom) = -0.78
- Fermi-level density of states (states/eV/f.u.) = 2.85

Cell: 6.8873 6.7959 6.0209 Å, 90.00 97.04 90.00°
Closest atoms and distances in Å follow each position.
Positions (direct):
S 0.8439 0.6775 0.1661  1 Sn 2.47, 2 Dy 2.69-2.74
S 0.6561 0.1775 0.8339  1 Sn 2.47, 2 Dy 2.69-2.74
S 0.3439 0.8225 0.1661  1 Sn 2.47, 2 Dy 2.69-2.74
S 0.2399 0.7893 0.6992  2 Sn 2.69-2.75, 1 S 2.82, 1 Dy 2.97
S 0.7601 0.2107 0.3008  2 Sn 2.69-2.75, 1 S 2.82, 1 Dy 2.97
S 0.1561 0.3225 0.8339  1 Sn 2.47, 2 Dy 2.69-2.74
S 0.2601 0.2893 0.3008  2 Sn 2.69-2.75, 1 S 2.82, 1 Dy 2.97
S 0.7399 0.7107 0.6992  2 Sn 2.69-2.75, 1 S 2.82, 1 Dy 2.97
Dy 0.0000 0.0000 0.0000  6 S 2.69-2.97
Dy 0.5000 0.5000 0.0000  6 S 2.69-2.97
Sn 0.5000 0.0000 0.5000  6 S 2.47-2.75
Sn 0.0000 0.5000 0.5000  6 S 2.47-2.75

No. 2
Compound: Dy3Sn5S12
Source: Alexandria via LeMat-Bulk
Functional: PBE
Structure: relaxed

Summary:
- formation energy (no corrections) (eV per atom) = -0.89
- Fermi-level density of states (states/eV/f.u.) = 4.70

Cell: 13.7932 13.7932 13.7932 Å, 109.47 109.47 109.47°
Closest atoms and distances in Å follow each position.
Positions (direct):
S 0.6387 0.5894 0.9132  2 Sn 2.49-2.75
S 0.8613 0.2745 0.4507  2 Sn 2.49-2.75
S 0.7255 0.1387 0.0493  2 Sn 2.49-2.75
S 0.8239 0.9106 0.0493  2 Sn 2.49-2.75
S 0.8239 0.9132 0.2745  2 Sn 2.49-2.75
S 0.5894 0.6387 0.4132  2 Sn 2.49-2.75
S 0.4132 0.2745 0.3239  2 Sn 2.49-2.75
S 0.2745 0.8613 0.9507  2 Sn 2.49-2.75
S 0.4132 0.1387 0.5894  2 Sn 2.49-2.75
S 0.4106 0.0493 0.3239  2 Sn 2.49-2.75
S 0.1761 0.0868 0.7255  2 Sn 2.49-2.75
S 0.4507 0.6761 0.0894  2 Sn 2.49-2.75
S 0.2255 0.5493 0.6387  2 Sn 2.49-2.75
S 0.4106 0.3613 0.5868  2 Sn 2.49-2.75
S 0.8613 0.5868 0.9106  2 Sn 2.49-2.75
S 0.5894 0.9507 0.6761  2 Sn 2.49-2.75
S 0.2255 0.6761 0.0868  2 Sn 2.49-2.75
S 0.6761 0.4507 0.5894  2 Sn 2.49-2.75
S 0.2745 0.4132 0.8239  2 Sn 2.49-2.75
S 0.3613 0.4106 0.0868  2 Sn 2.49-2.75
S 0.4507 0.7745 0.8613  2 Sn 2.49-2.75
S 0.6387 0.0493 0.2255  2 Sn 2.49-2.75
S 0.9106 0.0868 0.8613  2 Sn 2.49-2.75
S 0.9507 0.5894 0.1761  2 Sn 2.49-2.75
S 0.9132 0.8239 0.7745  2 Sn 2.49-2.75
S 0.7745 0.4507 0.3613  2 Sn 2.49-2.75
S 0.7255 0.5868 0.1761  2 Sn 2.49-2.75
S 0.0894 0.1761 0.4507  2 Sn 2.49-2.75
S 0.5493 0.2255 0.1387  2 Sn 2.49-2.75
S 0.5493 0.3239 0.9106  2 Sn 2.49-2.75
S 0.5868 0.7255 0.6761  2 Sn 2.49-2.75
S 0.7745 0.3239 0.9132  2 Sn 2.49-2.75
S 0.5868 0.8613 0.4106  2 Sn 2.49-2.75
S 0.3239 0.5493 0.4106  2 Sn 2.49-2.75
S 0.1387 0.7255 0.5493  2 Sn 2.49-2.75
S 0.1387 0.4132 0.0894  2 Sn 2.49-2.75
S 0.6761 0.2255 0.5868  2 Sn 2.49-2.75
S 0.9132 0.0894 0.6387  2 Sn 2.49-2.75
S 0.0493 0.4106 0.8239  2 Sn 2.49-2.75
S 0.0868 0.9106 0.3613  2 Sn 2.49-2.75
S 0.9106 0.8239 0.5493  2 Sn 2.49-2.75
S 0.1761 0.0894 0.9507  2 Sn 2.49-2.75
S 0.0868 0.1761 0.2255  2 Sn 2.49-2.75
S 0.9507 0.3613 0.2745  2 Sn 2.49-2.75
S 0.0493 0.6387 0.7255  2 Sn 2.49-2.75
S 0.3613 0.9507 0.7745  2 Sn 2.49-2.75
S 0.0894 0.9132 0.1387  2 Sn 2.49-2.75
S 0.3239 0.7745 0.4132  2 Sn 2.49-2.75
Sn 0.6250 0.8750 0.2500  4 S 2.49
Sn 0.0000 0.0000 0.0000  6 S 2.75
Sn 0.3750 0.1250 0.7500  4 S 2.49
Sn 0.5000 0.0000 0.5000  6 S 2.75
Sn 0.2500 0.8750 0.1250  4 S 2.49
Sn 0.5000 0.5000 0.5000  6 S 2.75
Sn 0.7500 0.6250 0.3750  4 S 2.49
Sn 0.2500 0.3750 0.6250  4 S 2.49
Sn 0.6250 0.7500 0.8750  4 S 2.49
Sn 0.1250 0.3750 0.2500  4 S 2.49
Sn 0.3750 0.2500 0.1250  4 S 2.49
Sn 0.0000 0.5000 0.0000  6 S 2.75
Sn 0.5000 0.5000 0.0000  6 S 2.75
Sn 0.8750 0.2500 0.6250  4 S 2.49
Sn 0.5000 0.0000 0.0000  6 S 2.75
Sn 0.1250 0.7500 0.3750  4 S 2.49
Sn 0.7500 0.1250 0.8750  4 S 2.49
Sn 0.8750 0.6250 0.7500  4 S 2.49
Sn 0.0000 0.0000 0.5000  6 S 2.75
Sn 0.0000 0.5000 0.5000  6 S 2.75
Dy 0.7500 0.3750 0.1250  8 S 2.93-2.96
Dy 0.3750 0.7500 0.6250  8 S 2.93-2.96
Dy 0.6250 0.3750 0.7500  8 S 2.93-2.96
Dy 0.7500 0.8750 0.6250  8 S 2.93-2.96
Dy 0.2500 0.6250 0.8750  8 S 2.93-2.96
Dy 0.3750 0.6250 0.2500  8 S 2.93-2.96
Dy 0.1250 0.8750 0.7500  8 S 2.93-2.96
Dy 0.8750 0.1250 0.2500  8 S 2.93-2.96
Dy 0.6250 0.2500 0.3750  8 S 2.93-2.96
Dy 0.8750 0.7500 0.1250  8 S 2.93-2.96
Dy 0.1250 0.2500 0.8750  8 S 2.93-2.96
Dy 0.2500 0.1250 0.3750  8 S 2.93-2.96

No. 3
Compound: Dy7SnS5
Source: Alexandria via LeMat-Bulk
Functional: PBE
Structure: relaxed

Summary:
- formation energy (no corrections) (eV per atom) = -1.67
- Fermi-level density of states (states/eV/f.u.) = 7.35

Cell: 3.9464 6.7766 23.4158 Å, 90.00 90.00 106.98°
Closest atoms and distances in Å follow each position.
Positions (direct):
S 0.5445 0.0887 0.3605  6 Dy 2.70-2.74
S 0.2737 0.5475 0.0700  6 Dy 2.71-2.79
S 0.4561 0.9124 0.6395  6 Dy 2.70-2.74
S 0.0003 0.0006 0.5000  6 Dy 2.78-2.89
S 0.4563 0.9127 0.8606  6 Dy 2.70-2.74
S 0.2738 0.5476 0.4300  6 Dy 2.71-2.79
S 0.7269 0.4536 0.9300  6 Dy 2.71-2.79
S 0.7268 0.4535 0.5700  6 Dy 2.71-2.79
S 0.0003 0.0006 0.0000  6 Dy 2.78-2.89
S 0.5443 0.0884 0.1394  6 Dy 2.70-2.74
Sn 0.1975 0.3950 0.7501  6 Dy 3.06-3.14
Sn 0.8031 0.6061 0.2499  6 Dy 3.06-3.14
Dy 0.3636 0.7272 0.5360  6 S 2.70-2.78
Dy 0.5168 0.0336 0.7500  2 S 2.70-2.71
Dy 0.1764 0.3531 0.1725  3 S 2.71-2.73
Dy 0.9064 0.8126 0.1117  5 S 2.74-2.89
Dy 0.8242 0.6481 0.8275  3 S 2.71-2.73
Dy 0.6369 0.2740 0.4640  6 S 2.70-2.78
Dy 0.1765 0.3534 0.3275  3 S 2.71-2.73
Dy 0.6369 0.2738 0.0360  6 S 2.70-2.78
Dy 0.4838 0.9675 0.2500  2 S 2.71
Dy 0.8240 0.6478 0.6726  3 S 2.71-2.73
Dy 0.9065 0.8129 0.3882  5 S 2.74-2.89
Dy 0.0941 0.1883 0.6118  5 S 2.74-2.89
Dy 0.0942 0.1885 0.8883  5 S 2.74-2.89
Dy 0.3637 0.7273 0.9640  6 S 2.70-2.78

No. 4
Compound: Dy3SnS2
Source: Alexandria via LeMat-Bulk
Functional: PBE
Structure: relaxed

Summary:
- formation energy (no corrections) (eV per atom) = -1.17
- Fermi-level density of states (states/eV/f.u.) = 2.13

Cell: 8.8208 7.8235 7.8235 Å, 54.27 55.68 55.68°
Closest atoms and distances in Å follow each position.
Positions (direct):
Dy 0.5000 0.5000 0.0000  4 S 2.77
Dy 0.5000 0.2301 0.7699  2 S 2.71
Dy 0.5000 0.7699 0.2301  2 S 2.71
Dy 0.0000 0.2699 0.7301  2 S 2.71
Dy 0.0000 0.7301 0.2699  2 S 2.71
Dy 0.5000 0.0000 0.5000  4 S 2.77
S 0.7386 0.0575 0.0575  4 Dy 2.71-2.77
S 0.3537 0.4425 0.4425  4 Dy 2.71-2.77
S 0.6463 0.5575 0.5575  4 Dy 2.71-2.77
S 0.2614 0.9425 0.9425  4 Dy 2.71-2.77
Sn 0.8078 0.7500 0.7500  6 Dy 3.20-3.25
Sn 0.1922 0.2500 0.2500  6 Dy 3.20-3.25

No. 5
Compound: DyTl2SnS4
Source: Alexandria via LeMat-Bulk
Functional: PBE
Structure: relaxed

Summary:
- formation energy (no corrections) (eV per atom) = -0.92
- Fermi-level density of states (states/eV/f.u.) = 3.30

Cell: 3.9693 7.8318 7.0405 Å, 73.05 90.00 90.00°
Closest atoms and distances in Å follow each position.
Positions (direct):
Sn 0.5000 0.5000 0.0000  6 S 2.75-2.76
Tl 0.0000 0.0000 0.0000  6 S 3.24
Tl 0.5000 0.0000 0.5000  6 S 3.22-3.26
S 0.5000 0.3030 0.7336  2 Dy 2.75, 1 Sn 2.75
S 0.0000 0.2997 0.2342  2 Sn 2.76, 1 Dy 2.77
S 0.5000 0.6970 0.2664  2 Dy 2.75, 1 Sn 2.75
S 0.0000 0.7003 0.7658  2 Sn 2.76, 1 Dy 2.77
Dy 0.0000 0.5000 0.5000  6 S 2.75-2.77

No. 6
Compound: Dy3Tl4SnS8
Source: Alexandria via LeMat-Bulk
Functional: PBE
Structure: relaxed

Summary:
- formation energy (no corrections) (eV per atom) = -1.20
- Fermi-level density of states (states/eV/f.u.) = 3.47

Cell: 8.0596 8.8322 8.0601 Å, 117.16 120.00 90.00°
Closest atoms and distances in Å follow each position.
Positions (direct):
Tl 0.0000 0.0000 0.0000  6 S 3.25
Tl 0.5000 0.0000 0.5000  6 S 3.25
Tl 0.5000 0.0000 0.0000  6 S 3.26
Tl 0.0000 0.0000 0.5000  6 S 3.25
Dy 0.5000 0.5000 0.0000  6 S 2.76
Dy 0.5000 0.5000 0.5000  6 S 2.76
Dy 0.0000 0.5000 0.5000  6 S 2.76
S 0.2315 0.6968 0.9655  1 Sn 2.75, 2 Dy 2.76
S 0.7685 0.3032 0.0345  1 Sn 2.75, 2 Dy 2.76
S 0.7340 0.6968 0.9655  1 Sn 2.75, 2 Dy 2.76
S 0.2660 0.3032 0.0345  1 Sn 2.75, 2 Dy 2.76
S 0.2674 0.3022 0.5347  3 Dy 2.76
S 0.2315 0.6969 0.4630  1 Sn 2.75, 2 Dy 2.76
S 0.7685 0.3031 0.5370  1 Sn 2.75, 2 Dy 2.76
S 0.7326 0.6978 0.4653  3 Dy 2.76
Sn 0.0000 0.5000 0.0000  6 S 2.75

No. 7
Compound: Dy2Tl3SnS6
Source: Alexandria via LeMat-Bulk
Functional: PBE
Structure: relaxed

Summary:
- formation energy (no corrections) (eV per atom) = -1.10
- Fermi-level density of states (states/eV/f.u.) = 3.96

Cell: 6.9859 6.9859 7.8218 Å, 98.50 98.50 120.05°
Closest atoms and distances in Å follow each position.
Positions (direct):
S 0.9347 0.6028 0.8027  1 Sn 2.75, 2 Dy 2.76
S 0.0653 0.3972 0.1973  1 Sn 2.75, 2 Dy 2.76
S 0.2654 0.2654 0.8007  1 Sn 2.75, 2 Dy 2.77
S 0.3972 0.0653 0.1973  1 Sn 2.75, 2 Dy 2.76
S 0.6028 0.9347 0.8027  1 Sn 2.75, 2 Dy 2.76
S 0.7346 0.7346 0.1993  1 Sn 2.75, 2 Dy 2.77
Sn 0.0000 0.0000 0.0000  6 S 2.75
Tl 0.1697 0.8303 0.5000  6 S 3.23-3.26
Tl 0.5000 0.5000 0.5000  6 S 3.24-3.25
Tl 0.8303 0.1697 0.5000  6 S 3.23-3.26
Dy 0.6666 0.3334 0.0000  6 S 2.76-2.77
Dy 0.3334 0.6666 0.0000  6 S 2.76-2.77

No. 8
Compound: Dy3Tl3SnS8
Source: Alexandria via LeMat-Bulk
Functional: PBE
Structure: relaxed

Summary:
- formation energy (no corrections) (eV per atom) = -1.25
- Fermi-level density of states (states/eV/f.u.) = 0.47

Cell: 7.9355 7.9353 8.9130 Å, 116.44 90.00 120.00°
Closest atoms and distances in Å follow each position.
Positions (direct):
S 0.7320 0.4639 0.6959  3 Dy 2.74
S 0.2225 0.9691 0.6916  1 Sn 2.63, 2 Dy 2.77
S 0.7775 0.0309 0.3084  1 Sn 2.63, 2 Dy 2.77
S 0.2533 0.0309 0.3084  1 Sn 2.63, 2 Dy 2.77
S 0.7467 0.9691 0.6916  1 Sn 2.63, 2 Dy 2.77
S 0.2680 0.5361 0.3041  3 Dy 2.74
S 0.7775 0.5550 0.3084  1 Sn 2.63, 2 Dy 2.77
S 0.2225 0.4450 0.6916  1 Sn 2.63, 2 Dy 2.77
Tl 0.0000 0.0000 0.0000  6 S 3.25-3.26
Tl 0.0000 0.5000 0.0000  6 S 3.25-3.26
Tl 0.5000 0.5000 0.0000  6 S 3.25-3.26
Dy 0.5000 0.5000 0.5000  6 S 2.74-2.77
Dy 0.0000 0.5000 0.5000  6 S 2.74-2.77
Dy 0.5000 0.0000 0.5000  6 S 2.74-2.77
Sn 0.0000 0.0000 0.5000  6 S 2.63

No. 9
Compound: Sr4DyS5
Source: Alexandria via LeMat-Bulk
Functional: PBE
Structure: relaxed

Summary:
- formation energy (no corrections) (eV per atom) = -2.08
- Fermi-level density of states (states/eV/f.u.) = 2.52

Cell: 5.9301 7.2611 7.2611 Å, 80.40 65.90 65.90°
Closest atoms and distances in Å follow each position.
Positions (direct):
Sr 0.5980 0.6032 0.2030  6 S 2.95-3.09
Sr 0.8010 0.7970 0.6032  6 S 2.95-3.09
Sr 0.4041 0.3968 0.7970  6 S 2.95-3.09
Sr 0.2011 0.2030 0.3968  6 S 2.95-3.09
S 0.9064 0.3793 0.8101  1 Dy 2.81, 5 Sr 2.97-3.09
S 0.2857 0.8101 0.6207  1 Dy 2.81, 5 Sr 2.97-3.09
S 0.5008 0.0000 0.0000  4 Sr 2.95, 2 Dy 2.96-2.97
S 0.7164 0.1899 0.3793  1 Dy 2.81, 5 Sr 2.97-3.09
S 0.0957 0.6207 0.1899  1 Dy 2.81, 5 Sr 2.97-3.09
Dy 0.0010 0.0000 0.0000  6 S 2.81-2.97

No. 10
Compound: SrDy2S4
Source: Alexandria via LeMat-Bulk
Functional: PBE
Structure: relaxed

Summary:
- excess energy over the best structure of this formula in the dataset (meV per atom) = 62
- formation energy (no corrections) (eV per atom) = -2.07
- Fermi-level density of states (states/eV/f.u.) = 0.00

Cell: 8.2755 8.2756 8.2803 Å, 119.92 119.94 90.08°
Closest atoms and distances in Å follow each position.
Positions (direct):
S 0.3903 0.6107 0.7800  3 Dy 2.77, 1 Sr 2.84
S 0.8307 0.6103 0.2200  3 Dy 2.77, 1 Sr 2.84
S 0.3899 0.1695 0.7803  3 Dy 2.76-2.77, 1 Sr 2.84
S 0.3892 0.6096 0.2197  3 Dy 2.76-2.77, 1 Sr 2.84
S 0.8608 0.1404 0.2803  3 Dy 2.76-2.77, 1 Sr 2.84
S 0.8601 0.5805 0.7197  3 Dy 2.76-2.77, 1 Sr 2.84
S 0.8596 0.1393 0.7200  3 Dy 2.77, 1 Sr 2.84
S 0.4193 0.1397 0.2800  3 Dy 2.77, 1 Sr 2.84
Dy 0.6250 0.3750 0.7500  6 S 2.76-2.77
Dy 0.1250 0.3750 0.7500  6 S 2.76-2.77
Dy 0.6250 0.3750 0.2500  6 S 2.76-2.77
Dy 0.6250 0.8750 0.2500  6 S 2.76-2.77
Sr 0.2502 0.7502 0.5000  4 S 2.84
Sr 0.9998 0.9998 0.0000  4 S 2.84

No. 11
Compound: SrDy2S
Source: Alexandria via LeMat-Bulk
Functional: PBE
Structure: relaxed

Summary:
- formation energy (no corrections) (eV per atom) = -0.77
- Fermi-level density of states (states/eV/f.u.) = 2.73

Cell: 3.8274 3.8274 10.3681 Å, 79.36 79.36 60.00°
Closest atoms and distances in Å follow each position.
Positions (direct):
Dy 0.8841 0.8841 0.3478  3 S 2.69
Dy 0.1159 0.1159 0.6522  3 S 2.69
Sr 0.0000 0.0000 0.0000  2 Dy 3.52, 6 Sr 3.83
S 0.5000 0.5000 0.5000  6 Dy 2.69

No. 12
Compound: SrDy3S4
Source: Alexandria via LeMat-Bulk
Functional: PBE
Structure: relaxed

Summary:
- formation energy (no corrections) (eV per atom) = -1.99
- Fermi-level density of states (states/eV/f.u.) = 2.64

Cell: 3.9606 6.9087 6.9087 Å, 70.94 90.00 90.00°
Closest atoms and distances in Å follow each position.
Positions (direct):
S 0.4999 0.2445 0.7444  5 Dy 2.75-2.82, 1 Sr 2.88
S 0.5000 0.7557 0.2556  5 Dy 2.75-2.82, 1 Sr 2.88
S 0.0000 0.7627 0.7374  4 Dy 2.75-2.82, 2 Sr 2.89
S 0.0000 0.2376 0.2625  4 Dy 2.75-2.81, 2 Sr 2.89
Dy 0.5000 0.0001 0.4999  6 S 2.75
Dy 0.0000 0.5001 0.5000  6 S 2.81-2.82
Dy 0.9999 0.0001 0.0000  6 S 2.81-2.82
Sr 0.5000 0.5001 0.9999  6 S 2.88-2.89

- Which formula does entry 12 have?
  SrDy3S4

- Number 6 is which compound?
  Dy3Tl4SnS8